Computed, not measured: a relaxed structure of CsWNF2 at the PBE with a Hubbard U level of DFT.

a = 5.098 Å, b = 5.098 Å, c = 4.497 Å
α = 90.00°, β = 90.00°, γ = 90.00°
Sites, in units of the cell vectors:
Cs 0.000 0.000 0.000
W 0.500 0.500 0.500
N 0.000 0.000 0.500
F 0.000 0.500 0.000
F 0.500 0.000 0.000

Output
Calculated volume: 117 Å³ per cell
Theoretical density: 5.2 g/cm³
Energy: -16.4 eV/cell